9
Lattice="3.970 0.000 0.000 0.000 3.970 0.000 0.000 0.000 7.919" Properties=species:S:1:pos:R:3 comment="BaNdMnCoO5 PBE+U relaxed" e_tot_ev_per_atom=-7.0955 sg="P4mm, No. 99" pbc="T T T"
Ba 0.000 0.000 0.000
Nd 0.000 0.000 4.117
Mn 1.985 1.985 2.161
Co 1.985 1.985 5.971
O 0.000 1.985 2.606
O 0.000 1.985 5.618
O 1.985 0.000 2.606
O 1.985 0.000 5.618
O 1.985 1.985 0.143